No. 1
Computed, not measured: a relaxed structure of InSi3B at the PBE-GGA level of DFT.

Values from the calculation:
Distance to the lowest polymorph of the same formula in eV per atom: 0.000
DOS at the Fermi energy in states/eV per atom: 0.401
Electronic total energy in eV per atom: -4.456
Uncorrected formation energy in eV/atom: 0.681
Magnetization in Bohr magnetons per cell: 0.00

a b c (Å): 4.301 4.301 4.301
angles (deg): 90.00 90.00 90.00
Atoms (fractional coordinates):
In 0.000 0.000 0.000
Si 0.000 0.500 0.500
Si 0.500 0.000 0.500
Si 0.500 0.500 0.000
B 0.500 0.500 0.500


No. 2
Computed, not measured: a relaxed structure of In3SiB at the PBE-GGA level of DFT.

Values from the calculation:
Distance to the lowest polymorph of the same formula in eV per atom: 0.000
DOS at the Fermi energy in states/eV per atom: 0.564
Electronic total energy in eV per atom: -3.336
Uncorrected formation energy in eV/atom: 0.727
Magnetization in Bohr magnetons per cell: 0.00

a b c (Å): 4.774 4.774 4.774
angles (deg): 90.00 90.00 90.00
Atoms (fractional coordinates):
In 0.000 0.000 0.500
In 0.000 0.500 0.000
In 0.500 0.000 0.000
Si 0.500 0.500 0.500
B 0.000 0.000 0.000


No. 3
Computed, not measured: a relaxed structure of In2SiB at the PBE-GGA level of DFT.

Values from the calculation:
Distance to the lowest polymorph of the same formula in eV per atom: 0.000
DOS at the Fermi energy in states/eV per atom: 0.382
Electronic total energy in eV per atom: -3.596
Uncorrected formation energy in eV/atom: 0.798
Magnetization in Bohr magnetons per cell: 0.00

a b c (Å): 7.855 7.855 7.855
angles (deg): 142.72 142.72 53.74
Atoms (fractional coordinates):
In 0.068 0.625 0.943
In 0.375 0.318 0.443
In 0.682 0.125 0.057
In 0.875 0.932 0.557
Si 0.250 0.750 0.500
Si 0.500 0.500 0.000
B 0.000 0.000 0.000
B 0.750 0.250 0.500


No. 4
Computed, not measured: a relaxed structure of Sm4In2B at the PBE-GGA level of DFT.

Values from the calculation:
Calculated formation energy in eV per formula unit: -1.36
DOS at the Fermi energy in states/eV per atom: 1.059
Electronic total energy in eV per atom: -4.627
Magnetization in Bohr magnetons per cell: 0.00

a b c (Å): 8.600 8.600 8.600
angles (deg): 145.19 145.19 50.06
Atoms (fractional coordinates):
Sm 0.000 0.500 0.500
Sm 0.171 0.171 0.000
Sm 0.500 0.000 0.500
Sm 0.829 0.829 0.000
In 0.372 0.372 0.000
In 0.628 0.628 0.000
B 0.000 0.000 0.000


No. 5
Computed, not measured: a relaxed structure of InSn3B at the PBE-GGA level of DFT.

Values from the calculation:
Distance to the lowest polymorph of the same formula in eV per atom: 0.000
Calculated formation energy in eV per formula unit: 2.56
DOS at the Fermi energy in states/eV per atom: 0.479
Electronic total energy in eV per atom: -3.772
Magnetization in Bohr magnetons per cell: 0.00

a b c (Å): 4.933 4.933 4.933
angles (deg): 90.00 90.00 90.00
Atoms (fractional coordinates):
In 0.000 0.000 0.000
Sn 0.000 0.500 0.500
Sn 0.500 0.000 0.500
Sn 0.500 0.500 0.000
B 0.500 0.500 0.500


No. 6
Computed, not measured: a relaxed structure of InSnB2 at the PBE-GGA level of DFT.

Values from the calculation:
Distance to the lowest polymorph of the same formula in eV per atom: 0.000
Calculated formation energy in eV per formula unit: 3.94
DOS at the Fermi energy in states/eV per atom: 0.599
Electronic total energy in eV per atom: -4.040
Magnetization in Bohr magnetons per cell: 0.00

a b c (Å): 6.443 6.443 6.443
angles (deg): 129.85 129.85 73.65
Atoms (fractional coordinates):
In 0.000 0.000 0.000
In 0.750 0.250 0.500
Sn 0.250 0.750 0.500
Sn 0.500 0.500 0.000
B 0.136 0.625 0.011
B 0.375 0.386 0.511
B 0.614 0.125 0.989
B 0.875 0.864 0.489


No. 7
Computed, not measured: a relaxed structure of InSn2B at the PBE-GGA level of DFT.

Values from the calculation:
Distance to the lowest polymorph of the same formula in eV per atom: 0.000
Calculated formation energy in eV per formula unit: 1.79
DOS at the Fermi energy in states/eV per atom: 0.137
Electronic total energy in eV per atom: -3.909
Magnetization in Bohr magnetons per cell: 0.00

a b c (Å): 6.957 6.957 6.957
angles (deg): 127.00 127.00 78.25
Atoms (fractional coordinates):
In 0.000 0.000 0.000
In 0.750 0.250 0.500
Sn 0.211 0.625 0.086
Sn 0.375 0.461 0.586
Sn 0.539 0.125 0.914
Sn 0.875 0.789 0.414
B 0.250 0.750 0.500
B 0.500 0.500 0.000


No. 8
Computed, not measured: a relaxed structure of InSnB2 at the PBE-GGA level of DFT.

Values from the calculation:
Distance to the lowest polymorph of the same formula in eV per atom: 0.456
Calculated formation energy in eV per formula unit: 5.76
DOS at the Fermi energy in states/eV per atom: 0.452
Electronic total energy in eV per atom: -3.584
Magnetization in Bohr magnetons per cell: 0.00

a b c (Å): 4.518 4.518 4.518
angles (deg): 60.00 60.00 60.00
Atoms (fractional coordinates):
In 0.000 0.000 0.000
Sn 0.500 0.500 0.500
B 0.250 0.250 0.250
B 0.750 0.750 0.750


No. 9
Computed, not measured: a relaxed structure of InSn3B at the PBE-GGA level of DFT.

Values from the calculation:
Distance to the lowest polymorph of the same formula in eV per atom: 1.026
Calculated formation energy in eV per formula unit: 7.70
DOS at the Fermi energy in states/eV per atom: 1.038
Electronic total energy in eV per atom: -2.745
Magnetization in Bohr magnetons per cell: 0.00

a b c (Å): 5.624 5.624 5.624
angles (deg): 90.00 90.00 90.00
Atoms (fractional coordinates):
In 0.000 0.000 0.000
Sn 0.000 0.000 0.500
Sn 0.000 0.500 0.000
Sn 0.500 0.000 0.000
B 0.500 0.500 0.500


No. 10
Computed, not measured: a relaxed structure of InSn2B at the PBE-GGA level of DFT.

Values from the calculation:
Distance to the lowest polymorph of the same formula in eV per atom: 0.466
Calculated formation energy in eV per formula unit: 3.65
DOS at the Fermi energy in states/eV per atom: 0.473
Electronic total energy in eV per atom: -3.443
Magnetization in Bohr magnetons per cell: 0.00

a b c (Å): 5.033 5.033 5.033
angles (deg): 60.00 60.00 60.00
Atoms (fractional coordinates):
In 0.000 0.000 0.000
Sn 0.250 0.250 0.250
Sn 0.750 0.750 0.750
B 0.500 0.500 0.500


No. 11
Computed, not measured: a relaxed structure of VInSnB2 at the PBE-GGA level of DFT.

Values from the calculation:
Calculated formation energy in eV per formula unit: 10.59
DOS at the Fermi energy in states/eV per atom: 1.652
Electronic total energy in eV per atom: -3.725
Magnetization in Bohr magnetons per cell: 0.26

a b c (Å): 4.332 4.332 5.827
angles (deg): 90.00 90.00 90.00
Atoms (fractional coordinates):
V 0.000 0.000 0.000
In 0.500 0.500 0.000
Sn 0.500 0.500 0.500
B 0.000 0.500 0.500
B 0.500 0.000 0.500


No. 12
Computed, not measured: a relaxed structure of ZnInSn2B at the PBE-GGA level of DFT.

Values from the calculation:
Calculated formation energy in eV per formula unit: 3.28
DOS at the Fermi energy in states/eV per atom: 0.463
Electronic total energy in eV per atom: -3.083
Magnetization in Bohr magnetons per cell: 0.00

a b c (Å): 5.539 5.539 3.880
angles (deg): 90.00 90.00 90.00
Atoms (fractional coordinates):
Zn 0.000 0.000 0.000
In 0.500 0.500 0.500
Sn 0.000 0.500 0.000
Sn 0.500 0.000 0.000
B 0.000 0.000 0.500


No. 13
Computed, not measured: a relaxed structure of ZrInSnB2 at the PBE-GGA level of DFT.

Values from the calculation:
Calculated formation energy in eV per formula unit: 8.11
DOS at the Fermi energy in states/eV per atom: 0.974
Electronic total energy in eV per atom: -4.107
Magnetization in Bohr magnetons per cell: 0.00

a b c (Å): 4.397 4.397 5.666
angles (deg): 90.00 90.00 90.00
Atoms (fractional coordinates):
Zr 0.000 0.000 0.000
In 0.500 0.500 0.000
Sn 0.500 0.500 0.500
B 0.000 0.500 0.500
B 0.500 0.000 0.500


No. 14
Computed, not measured: a relaxed structure of SrInB at the PBE-GGA level of DFT.

Values from the calculation:
Calculated formation energy in eV per formula unit: 0.04
DOS at the Fermi energy in states/eV per atom: 0.332
Electronic total energy in eV per atom: -3.686
Magnetization in Bohr magnetons per cell: 0.00

a b c (Å): 4.272 4.135 8.526
angles (deg): 90.00 97.82 90.00
Atoms (fractional coordinates):
Sr 0.000 0.000 0.000
Sr 0.149 0.000 0.490
In 0.450 0.500 0.798
In 0.574 0.500 0.257
B 0.676 0.500 0.539
B 0.925 0.500 0.691


No. 15
Computed, not measured: a relaxed structure of SrInB2 at the PBE-GGA level of DFT.

Values from the calculation:
Calculated formation energy in eV per formula unit: 3.13
DOS at the Fermi energy in states/eV per atom: 0.431
Electronic total energy in eV per atom: -3.662
Magnetization in Bohr magnetons per cell: 0.00

a b c (Å): 8.385 8.385 8.385
angles (deg): 148.20 148.20 45.59
Atoms (fractional coordinates):
Sr 0.375 0.625 0.750
Sr 0.625 0.375 0.250
In 0.125 0.875 0.250
In 0.875 0.125 0.750
B 0.000 0.000 0.000
B 0.000 0.000 0.500
B 0.000 0.500 0.000
B 0.500 0.000 0.500


No. 16
Computed, not measured: a relaxed structure of SrInB at the PBE-GGA level of DFT.

Values from the calculation:
Calculated formation energy in eV per formula unit: 0.06
DOS at the Fermi energy in states/eV per atom: 0.381
Electronic total energy in eV per atom: -3.680
Magnetization in Bohr magnetons per cell: 0.00

a b c (Å): 4.178 4.331 8.445
angles (deg): 90.00 104.24 90.00
Atoms (fractional coordinates):
Sr 0.000 0.000 0.000
Sr 0.253 0.000 0.508
In 0.637 0.500 0.273
In 0.837 0.500 0.679
B 0.401 0.500 0.808
B 0.499 0.500 0.998


No. 17
Computed, not measured: a relaxed structure of SrIn3B at the PBE-GGA level of DFT.

Values from the calculation:
Distance to the lowest polymorph of the same formula in eV per atom: 0.000
Calculated formation energy in eV per formula unit: 1.53
DOS at the Fermi energy in states/eV per atom: 0.593
Electronic total energy in eV per atom: -3.008
Magnetization in Bohr magnetons per cell: 0.00

a b c (Å): 5.034 5.034 5.034
angles (deg): 90.00 90.00 90.00
Atoms (fractional coordinates):
Sr 0.000 0.000 0.000
In 0.000 0.500 0.500
In 0.500 0.000 0.500
In 0.500 0.500 0.000
B 0.500 0.500 0.500


No. 18
Computed, not measured: a relaxed structure of Sr2InB at the PBE-GGA level of DFT.

Values from the calculation:
Calculated formation energy in eV per formula unit: 1.65
DOS at the Fermi energy in states/eV per atom: 0.207
Electronic total energy in eV per atom: -2.783
Magnetization in Bohr magnetons per cell: 0.00

a b c (Å): 5.431 5.431 5.431
angles (deg): 60.00 60.00 60.00
Atoms (fractional coordinates):
Sr 0.250 0.250 0.250
Sr 0.750 0.750 0.750
In 0.000 0.000 0.000
B 0.500 0.500 0.500


No. 19
Computed, not measured: a relaxed structure of SrInB12 at the PBE-GGA level of DFT.

Values from the calculation:
Calculated formation energy in eV per formula unit: -1.39
DOS at the Fermi energy in states/eV per atom: 0.232
Electronic total energy in eV per atom: -6.139
Magnetization in Bohr magnetons per cell: 0.00

a b c (Å): 5.952 5.952 5.952
angles (deg): 60.00 60.00 60.00
Atoms (fractional coordinates):
Sr 0.000 0.000 0.000
In 0.500 0.500 0.500
B 0.101 0.101 0.399
B 0.101 0.399 0.101
B 0.101 0.399 0.399
B 0.399 0.101 0.101
B 0.399 0.101 0.399
B 0.399 0.399 0.101
B 0.601 0.601 0.899
B 0.601 0.899 0.601
B 0.601 0.899 0.899
B 0.899 0.601 0.601
B 0.899 0.601 0.899
B 0.899 0.899 0.601


No. 20
Computed, not measured: a relaxed structure of Sr3InB at the PBE-GGA level of DFT.

Values from the calculation:
Distance to the lowest polymorph of the same formula in eV per atom: 0.000
Calculated formation energy in eV per formula unit: 1.07
DOS at the Fermi energy in states/eV per atom: 0.767
Electronic total energy in eV per atom: -2.678
Magnetization in Bohr magnetons per cell: 3.11

a b c (Å): 5.643 5.643 5.643
angles (deg): 90.00 90.00 90.00
Atoms (fractional coordinates):
Sr 0.000 0.000 0.500
Sr 0.000 0.500 0.000
Sr 0.500 0.000 0.000
In 0.500 0.500 0.500
B 0.000 0.000 0.000